Version w
BaSrAg | PBE-GGA | relaxed Values from VASP.

```
&SYSTEM
  ibrav = 0, nat = 3, ntyp = 3
/
ATOMIC_SPECIES
Ba 137.33 Ba.upf
Ag 107.87 Ag.upf
Sr 87.62 Sr.upf
ATOMIC_POSITIONS crystal
Ba 0.333 0.667 0.251
Ag 0.000 0.000 0.990
Sr 0.667 0.333 0.760
CELL_PARAMETERS angstrom
4.723 0.000 0.000
-2.361 4.090 0.000
0.000 0.000 7.473
```

Version x
BaSrAg | PBE-GGA | relaxed Values from VASP.

```
&SYSTEM
  ibrav = 0, nat = 24, ntyp = 3
/
ATOMIC_SPECIES
Ag 107.87 Ag.upf
Ba 137.33 Ba.upf
Sr 87.62 Sr.upf
ATOMIC_POSITIONS crystal
Ag 0.223 0.456 0.090
Ag 0.223 0.956 0.410
Ag 0.723 0.544 0.410
Ag 0.277 0.456 0.590
Ag 0.277 0.956 0.910
Ag 0.777 0.544 0.910
Ag 0.777 0.044 0.590
Ag 0.723 0.044 0.090
Ba 0.195 0.105 0.697
Ba 0.195 0.605 0.803
Ba 0.695 0.895 0.803
Ba 0.305 0.605 0.303
Ba 0.805 0.895 0.303
Ba 0.805 0.395 0.197
Ba 0.695 0.395 0.697
Ba 0.305 0.105 0.197
Sr 0.005 0.269 0.459
Sr 0.505 0.731 0.041
Sr 0.995 0.731 0.541
Sr 0.995 0.231 0.959
Sr 0.495 0.769 0.541
Sr 0.005 0.769 0.041
Sr 0.495 0.269 0.959
Sr 0.505 0.231 0.459
CELL_PARAMETERS angstrom
8.006 0.000 0.000
0.000 8.652 0.000
0.000 0.000 14.910
```

Version y
BaSrAg | PBE-GGA | relaxed Values from VASP.

```
&SYSTEM
  ibrav = 0, nat = 3, ntyp = 3
/
ATOMIC_SPECIES
Ag 107.87 Ag.upf
Sr 87.62 Sr.upf
Ba 137.33 Ba.upf
ATOMIC_POSITIONS crystal
Ag 0.006 0.006 0.994
Sr 0.629 0.629 0.371
Ba 0.365 0.365 0.635
CELL_PARAMETERS angstrom
-0.966 -5.452 5.617
-3.440 -6.617 2.570
2.608 -3.002 -0.975
```

Least stable: version w

Version w
BaSrAg | PBE-GGA | relaxed Values from VASP.

```
&SYSTEM
  ibrav = 0, nat = 3, ntyp = 3
/
ATOMIC_SPECIES
Ag 107.87 Ag.upf
Ba 137.33 Ba.upf
Sr 87.62 Sr.upf
ATOMIC_POSITIONS crystal
Ag 0.000 0.000 0.000
Ba 0.500 0.500 0.500
Sr 0.750 0.750 0.750
CELL_PARAMETERS angstrom
-1.342 -2.547 4.864
2.860 -4.578 1.676
3.508 0.320 4.420
```

Version x
BaSrAg | PBE-GGA | relaxed Values from VASP.

```
&SYSTEM
  ibrav = 0, nat = 6, ntyp = 3
/
ATOMIC_SPECIES
Ba 137.33 Ba.upf
Sr 87.62 Sr.upf
Ag 107.87 Ag.upf
ATOMIC_POSITIONS crystal
Ba 0.308 0.484 0.381
Ba 0.570 0.620 0.908
Sr 0.307 0.987 0.380
Sr 0.571 0.117 0.909
Ag 0.938 0.818 0.642
Ag 0.940 0.286 0.647
CELL_PARAMETERS angstrom
4.072 0.008 0.002
-0.015 8.189 0.051
-2.031 -2.120 7.339
```

Least stable: version w

Version w
Ba2SrAg2 | PBE-GGA | relaxed Values from VASP.

```
&SYSTEM
  ibrav = 0, nat = 10, ntyp = 3
/
ATOMIC_SPECIES
Sr 87.62 Sr.upf
Ag 107.87 Ag.upf
Ba 137.33 Ba.upf
ATOMIC_POSITIONS crystal
Sr 0.000 0.000 0.000
Sr 0.500 0.500 0.000
Ag 0.622 0.122 0.000
Ag 0.122 0.378 0.000
Ag 0.878 0.622 0.000
Ag 0.378 0.878 0.000
Ba 0.168 0.668 0.500
Ba 0.332 0.168 0.500
Ba 0.668 0.832 0.500
Ba 0.832 0.332 0.500
CELL_PARAMETERS angstrom
8.937 0.000 0.000
0.000 8.937 0.000
0.000 0.000 4.893
```

Version x
Ba2SrAg2 | PBE-GGA | relaxed Values from VASP.

```
&SYSTEM
  ibrav = 0, nat = 5, ntyp = 3
/
ATOMIC_SPECIES
Ag 107.87 Ag.upf
Sr 87.62 Sr.upf
Ba 137.33 Ba.upf
ATOMIC_POSITIONS crystal
Ag 0.597 0.597 0.806
Ag 0.403 0.403 0.194
Sr 0.000 0.000 0.000
Ba 0.250 0.750 0.500
Ba 0.750 0.250 0.500
CELL_PARAMETERS angstrom
5.355 0.000 0.000
0.000 5.355 0.000
2.678 2.678 7.136
```

Version y
Ba2SrAg2 | PBE-GGA | relaxed Values from VASP.

```
&SYSTEM
  ibrav = 0, nat = 10, ntyp = 3
/
ATOMIC_SPECIES
Sr 87.62 Sr.upf
Ag 107.87 Ag.upf
Ba 137.33 Ba.upf
ATOMIC_POSITIONS crystal
Sr 0.000 0.000 0.000
Sr 0.500 0.500 0.000
Ag 0.161 0.661 0.500
Ag 0.661 0.839 0.500
Ag 0.339 0.161 0.500
Ag 0.839 0.339 0.500
Ba 0.863 0.637 0.000
Ba 0.137 0.363 0.000
Ba 0.637 0.137 0.000
Ba 0.363 0.863 0.000
CELL_PARAMETERS angstrom
9.849 0.000 0.000
0.000 9.849 0.000
0.000 0.000 3.883
```

Version z
Ba2SrAg2 | PBE-GGA | relaxed Values from VASP.

```
&SYSTEM
  ibrav = 0, nat = 5, ntyp = 3
/
ATOMIC_SPECIES
Sr 87.62 Sr.upf
Ba 137.33 Ba.upf
Ag 107.87 Ag.upf
ATOMIC_POSITIONS crystal
Sr 0.000 0.000 0.000
Ba 0.343 0.343 0.314
Ba 0.657 0.657 0.686
Ag 0.750 0.250 0.500
Ag 0.250 0.750 0.500
CELL_PARAMETERS angstrom
6.078 0.000 0.000
0.000 6.078 0.000
3.039 3.039 6.132
```

Least stable: version z

Version w
BaTa2Ag | PBE-GGA | relaxed Values from VASP.

```
&SYSTEM
  ibrav = 0, nat = 4, ntyp = 3
/
ATOMIC_SPECIES
Ag 107.87 Ag.upf
Ba 137.33 Ba.upf
Ta 180.95 Ta.upf
ATOMIC_POSITIONS crystal
Ag 0.500 0.000 0.500
Ba 0.000 0.500 0.500
Ta 0.000 0.000 0.000
Ta 0.500 0.500 0.000
CELL_PARAMETERS angstrom
5.228 0.000 0.000
0.000 5.228 0.000
0.000 0.000 3.156
```

Version x
BaTa2Ag | PBE-GGA | relaxed Values from VASP.

```
&SYSTEM
  ibrav = 0, nat = 4, ntyp = 3
/
ATOMIC_SPECIES
Ba 137.33 Ba.upf
Ag 107.87 Ag.upf
Ta 180.95 Ta.upf
ATOMIC_POSITIONS crystal
Ba 0.500 0.500 0.750
Ag 0.500 0.500 0.250
Ta 0.000 0.000 0.454
Ta 0.000 0.000 0.046
CELL_PARAMETERS angstrom
-1.433 -1.379 2.219
-2.006 -1.040 -1.942
5.710 -8.285 -1.463
```

Least stable: version w

Version w
BaTaAg | PBE-GGA | relaxed Values from VASP.

```
&SYSTEM
  ibrav = 0, nat = 6, ntyp = 3
/
ATOMIC_SPECIES
Ag 107.87 Ag.upf
Ba 137.33 Ba.upf
Ta 180.95 Ta.upf
ATOMIC_POSITIONS crystal
Ag 0.667 0.333 0.750
Ag 0.333 0.667 0.250
Ba 0.000 0.000 0.750
Ba 0.000 0.000 0.250
Ta 0.000 0.000 0.500
Ta 0.000 0.000 0.000
CELL_PARAMETERS angstrom
4.790 -2.765 0.000
0.000 5.531 0.000
0.000 0.000 13.167
```

Version x
BaTaAg | PBE-GGA | relaxed Values from VASP.

```
&SYSTEM
  ibrav = 0, nat = 6, ntyp = 3
/
ATOMIC_SPECIES
Ta 180.95 Ta.upf
Ag 107.87 Ag.upf
Ba 137.33 Ba.upf
ATOMIC_POSITIONS crystal
Ta 0.302 0.581 0.934
Ta 0.852 0.681 0.484
Ag 0.739 0.456 0.371
Ag 0.415 0.806 0.047
Ba 0.007 0.989 0.638
Ba 0.146 0.273 0.777
CELL_PARAMETERS angstrom
3.491 -0.008 0.006
-1.725 13.547 -0.058
-0.003 -0.438 3.463
```

Least stable: version w

Version w
BaTaAg3 | PBE-GGA | relaxed Values from VASP.

```
&SYSTEM
  ibrav = 0, nat = 5, ntyp = 3
/
ATOMIC_SPECIES
Ta 180.95 Ta.upf
Ag 107.87 Ag.upf
Ba 137.33 Ba.upf
ATOMIC_POSITIONS crystal
Ta 0.000 0.000 0.000
Ag 0.000 0.000 0.500
Ag 0.500 0.000 0.000
Ag 0.000 0.500 0.000
Ba 0.500 0.500 0.500
CELL_PARAMETERS angstrom
5.298 0.000 0.000
0.000 5.298 0.000
0.000 0.000 5.298
```

Version x
BaTaAg3 | PBE-GGA | relaxed Values from VASP.

```
&SYSTEM
  ibrav = 0, nat = 5, ntyp = 3
/
ATOMIC_SPECIES
Ba 137.33 Ba.upf
Ag 107.87 Ag.upf
Ta 180.95 Ta.upf
ATOMIC_POSITIONS crystal
Ba 0.000 0.000 0.000
Ag 0.000 0.500 0.000
Ag 0.500 0.000 0.000
Ag 0.000 0.000 0.500
Ta 0.500 0.500 0.500
CELL_PARAMETERS angstrom
5.638 0.000 0.000
0.000 5.638 0.000
0.000 0.000 5.638
```

Least stable: version x